[1]
Below is an optimized crystal structure of LaPr9Th2, with properties calculated at the PBE level.

Cell lengths 5.2097, 5.2097, 15.6781 Å; angles 90.00, 90.00, 90.00 degrees
Fractional coordinates of all 12 atoms:
La 0.0000 0.0000 0.0000
Pr 0.0000 0.5000 0.1718
Pr 0.0000 0.5000 0.5000
Pr 0.5000 0.0000 0.8282
Pr 0.0000 0.5000 0.8282
Pr 0.5000 0.0000 0.1718
Pr 0.5000 0.0000 0.5000
Pr 0.5000 0.5000 0.0000
Pr 0.5000 0.5000 0.6655
Pr 0.5000 0.5000 0.3345
Th 0.0000 0.0000 0.6657
Th 0.0000 0.0000 0.3343

Space-group type   P4/mmm, No. 123
M_tot   0.0 μB per formula unit
N(E_F)   16.52 states/eV per cell
Energy relative to the elements   0.044 eV/atom
Total energy   -0.191 hartree per atom

[2]
Below is an optimized crystal structure of ErU2CuS6, with properties calculated at the PBE level.

Cell lengths 6.4526, 6.1407, 6.1407 Å; angles 90.00, 90.00, 90.00 degrees
Last column: magnetic moment on the atom in μB.
Fractional coordinates of all 10 atoms:
U 0.9979 0.5000 0.0000  2.24
U 0.9979 0.0000 0.5000  2.24
S 0.7493 0.2373 0.2373  -0.09
S 0.1628 0.5000 0.5000  -0.04
S 0.7493 0.7627 0.7627  -0.09
S 0.7493 0.2373 0.7627  -0.09
S 0.7493 0.7627 0.2373  -0.09
S 0.1884 0.0000 0.0000  -0.06
Cu 0.5343 0.0000 0.0000  -0.09
Er 0.5684 0.5000 0.5000  -0.04

Space-group type   P4mm, No. 99
M_tot   4.1 μB per formula unit
N(E_F)   17.14 states/eV per cell
Total energy   -0.242 hartree per atom

[3]
Below is an optimized crystal structure of Hg2OsRh, with properties calculated at the PBE level.

Cell lengths 5.5157, 5.5157, 5.0318 Å; angles 69.52, 69.52, 29.89 degrees
Fractional coordinates of all 4 atoms:
Os 0.5256 0.5256 0.5500
Rh 0.2225 0.2225 0.2035
Hg 0.7698 0.7698 0.6762
Hg 0.9821 0.9821 0.0703

Space-group type   Cm, No. 8
M_tot   0.0 μB per formula unit
N(E_F)   4.67 states/eV per cell
Energy relative to the elements   0.570 eV/atom
Total energy   -0.155 hartree per atom

[4]
Below is an optimized crystal structure of AlCr2Ag, with properties calculated at the PBE level.

Cell lengths 4.7804, 4.7804, 4.7804 Å; angles 131.01, 131.01, 71.80 degrees
Last column: magnetic moment on the atom in μB.
Fractional coordinates of all 4 atoms:
Cr 0.2500 0.7500 0.5000  3.06
Cr 0.0000 0.0000 0.0000  -2.95
Ag 0.5000 0.5000 0.0000  0.02
Al 0.7500 0.2500 0.5000  0.00

Space-group type   I-4m2, No. 119
M_tot   0.1 μB per formula unit
N(E_F)   1.79 states/eV per cell
Energy relative to the elements   0.190 eV/atom
Total energy   -0.230 hartree per atom

> Number 2 is which compound?

ErU2CuS6

> What is the N(E_F) in the third record?

4.67 states/eV per cell